# CaCoRe2Cl PBE optimized geometry
# Formation energy without anion corrections ... 6.3 eV/f.u.
# E ... -5.905 eV per atom
data_CaCoRe2Cl
_space_group_name_H-M_alt 'P 4/m m m'
_space_group_IT_number 123
_space_group_name_Hall '-P 4 2'
_cell_length_a 4.463
_cell_length_b 4.463
_cell_length_c 4.291
_cell_angle_alpha 90.00
_cell_angle_beta 90.00
_cell_angle_gamma 90.00
loop_
_atom_site_label
_atom_site_fract_x
_atom_site_fract_y
_atom_site_fract_z
_atom_site_occupancy
Ca1 0.000 0.000 0.000 1
Co1 0.500 0.500 0.000 1
Re1 0.000 0.500 0.500 1
Cl1 0.500 0.500 0.500 1

# CaCoRuCl2 PBE optimized geometry
# Formation energy without anion corrections ... 3.4 eV/f.u.
# E ... -3.739 eV per atom
data_CaCoRuCl2
_space_group_name_H-M_alt 'P 4/m m m'
_space_group_IT_number 123
_space_group_name_Hall '-P 4 2'
_cell_length_a 4.956
_cell_length_b 4.956
_cell_length_c 6.369
_cell_angle_alpha 90.00
_cell_angle_beta 90.00
_cell_angle_gamma 90.00
loop_
_atom_site_label
_atom_site_fract_x
_atom_site_fract_y
_atom_site_fract_z
_atom_site_occupancy
Ca1 0.000 0.000 0.000 1
Co1 0.000 0.000 0.500 1
Ru1 0.500 0.500 0.500 1
Cl1 0.000 0.500 0.000 1

# CaCoSeCl2 PBE optimized geometry
# Formation energy without anion corrections ... -1.2 eV/f.u.
# E ... -3.492 eV per atom
data_CaCoSeCl2
_space_group_name_H-M_alt 'P 4/m m m'
_space_group_IT_number 123
_space_group_name_Hall '-P 4 2'
_cell_length_a 5.652
_cell_length_b 5.652
_cell_length_c 4.255
_cell_angle_alpha 90.00
_cell_angle_beta 90.00
_cell_angle_gamma 90.00
loop_
_atom_site_label
_atom_site_fract_x
_atom_site_fract_y
_atom_site_fract_z
_atom_site_occupancy
Ca1 0.000 0.000 0.000 1
Co1 0.500 0.500 0.000 1
Se1 0.500 0.500 0.500 1
Cl1 0.000 0.500 0.500 1